{
  "formula": "NbSiIr3",
  "functional": "GGA-PBE",
  "state": "relaxed",
  "cell": [[-3.772, 2.027, -1.071], [-2.260, -3.636, 1.075], [-0.388, 1.467, 4.145]],
  "species": ["Si", "Ir", "Nb", "Ir", "Ir"],
  "frac_coords": [[0.000, 0.000, 0.000], [0.000, 0.500, 0.000], [0.500, 0.500, 0.500], [0.500, 0.000, 0.000], [0.000, 0.000, 0.500]],
  "space_group": "Pm-3m",
  "e_tot_ev_per_cell": -39.43,
  "formation_energy_uncorrected_kcal_per_mol_atoms": 12.22
}